First-principles (PBEsol) data for an optimized crystal structure of AgRh2Br, as listed in Alexandria.

Cell and atoms, written as extended XYZ:
```
4
Lattice="-2.4528 -1.1784 1.0963 0.1200 -1.6438 2.4269 -1.9684 5.9084 5.8723" Properties=species:S:1:pos:R:3 pbc="T T T"
Br 0.0000 0.0000 0.0000
Rh -3.2406 2.3995 7.1048
Ag -2.1506 1.5431 4.6977
Rh -1.0605 0.6867 2.2907
```

Calculated values
raw total energy = -19.5 eV/f.u.
D(E_F) = 3.99 states/eV per cell


First-principles (PBEsol) data for an optimized crystal structure of LiBe2Ni, as listed in Alexandria.

Cell and atoms, written as extended XYZ:
```
4
Lattice="3.7205 0.0000 0.0000 1.8602 3.2220 0.0000 1.8602 1.0740 3.0378" Properties=species:S:1:pos:R:3 pbc="T T T"
Be 1.8602 1.0740 0.7594
Be 0.0000 0.0000 0.0000
Li 3.7205 2.1480 1.5189
Ni 5.5807 3.2220 2.2783
```

Calculated values
formation energy from the elements = -25 meV per atom
raw total energy = -16.2 eV/f.u.
D(E_F) = 1.38 states/eV per cell


First-principles (PBEsol) data for an optimized crystal structure of Ag2SnAs2, as listed in Alexandria.

Cell and atoms, written as extended XYZ:
```
5
Lattice="3.9711 0.0000 0.0000 0.0000 3.9711 0.0000 -1.9856 -1.9856 6.5002" Properties=species:S:1:pos:R:3 pbc="T T T"
Ag 1.9856 1.9856 1.3328
As 0.0000 1.9856 3.2501
Sn 0.0000 0.0000 0.0000
Ag 0.0000 0.0000 5.1674
As 1.9856 0.0000 3.2501
```

Calculated values
formation energy from the elements = 186 meV per atom
raw total energy = -20.2 eV/f.u.
D(E_F) = 1.59 states/eV per cell


> raw total energy of number 3 (Ag2SnAs2)?

-20.2 eV/f.u.